1.
A plane-wave DFT calculation with PBE-GGA was carried out for crystalline Tb2Be2CdPd5 at its relaxed geometry.

Properties
- total magnetization (Bohr magnetons per cell) = 0.00
- SG = No. 127

Unit cell a=9.7185 b=9.7185 c=3.5137 alpha=90.00 beta=90.00 gamma=90.00
Atoms (fractional coordinates):
Tb (0.1781, 0.3219, 0.0000)
Tb (0.3219, 0.8219, 0.0000)
Tb (0.6781, 0.1781, 0.0000)
Tb (0.8219, 0.6781, 0.0000)
Be (0.1171, 0.6171, 0.0000)
Be (0.3829, 0.1171, 0.0000)
Be (0.6171, 0.8829, 0.0000)
Be (0.8829, 0.3829, 0.0000)
Cd (0.0000, 0.0000, 0.0000)
Cd (0.5000, 0.5000, 0.0000)
Pd (0.0000, 0.5000, 0.5000)
Pd (0.0693, 0.7796, 0.5000)
Pd (0.2204, 0.0693, 0.5000)
Pd (0.2796, 0.5693, 0.5000)
Pd (0.4307, 0.2796, 0.5000)
Pd (0.5000, 0.0000, 0.5000)
Pd (0.5693, 0.7204, 0.5000)
Pd (0.7204, 0.4307, 0.5000)
Pd (0.7796, 0.9307, 0.5000)
Pd (0.9307, 0.2204, 0.5000)

=====

2.
A plane-wave DFT calculation with PBE-GGA was carried out for crystalline NaSmP2Pt4 at its relaxed geometry.

Properties
- total magnetization (Bohr magnetons per cell) = 0.00
- SG = No. 123

Unit cell a=4.0297 b=4.0297 c=10.0629 alpha=90.00 beta=90.00 gamma=90.00
Atoms (fractional coordinates):
Na (0.0000, 0.0000, 0.0000)
Sm (0.0000, 0.0000, 0.5000)
P (0.5000, 0.5000, 0.1570)
P (0.5000, 0.5000, 0.8430)
Pt (0.0000, 0.5000, 0.2770)
Pt (0.0000, 0.5000, 0.7230)
Pt (0.5000, 0.0000, 0.2770)
Pt (0.5000, 0.0000, 0.7230)

=====

Number 1: total energy -50.8 eV per formula unit. Number 2: total energy -46.5 eV per formula unit.